# Na3Ce3AgSe8

Na3Ce3AgSe8 after structural relaxation (PBE-GGA, Alexandria).

* electronic total energy: -4.80 eV per atom
* ΔE_f (raw): -1888 kJ/mol of formula units
* volume: 27.9 A^3/atom
* N(E_F): 15.93 states/eV/f.u.

Structure (CIF):
```
data_Na3Ce3AgSe8
_space_group_name_H-M_alt 'C 1 2/m 1'
_space_group_IT_number 12
_space_group_name_Hall '-C 2y'
_cell_length_a 14.449
_cell_length_b 8.353
_cell_length_c 8.444
_cell_angle_alpha 90.00
_cell_angle_beta 124.79
_cell_angle_gamma 90.00
loop_
_atom_site_label
_atom_site_type_symbol
_atom_site_fract_x
_atom_site_fract_y
_atom_site_fract_z
Na1 Na 0.000 0.000 0.000
Na2 Na 0.250 0.250 0.000
Ce1 Ce 0.000 0.500 0.500
Ce2 Ce 0.250 0.250 0.500
Ag1 Ag 0.000 0.000 0.500
Se1 Se 0.009 0.256 0.272
Se2 Se 0.245 0.000 0.727
Se3 Se 0.246 0.500 0.738
```

# Na3Ce2AgSe6

Na3Ce2AgSe6 after structural relaxation (PBE-GGA, Alexandria).

* electronic total energy: -4.58 eV per atom
* ΔE_f (raw): -1489 kJ/mol of formula units
* volume: 26.2 A^3/atom

Structure (CIF):
```
data_Na3Ce2AgSe6
_space_group_name_H-M_alt 'C 1 2/m 1'
_space_group_IT_number 12
_space_group_name_Hall '-C 2y'
_cell_length_a 7.247
_cell_length_b 12.499
_cell_length_c 7.360
_cell_angle_alpha 90.00
_cell_angle_beta 109.25
_cell_angle_gamma 90.00
loop_
_atom_site_label
_atom_site_type_symbol
_atom_site_fract_x
_atom_site_fract_y
_atom_site_fract_z
Na1 Na 0.000 0.000 0.000
Na2 Na 0.000 0.339 0.000
Ce1 Ce 0.000 0.167 0.500
Ag1 Ag 0.000 0.500 0.500
Se1 Se 0.233 0.000 0.733
Se2 Se 0.249 0.329 0.731
```

# NaCeAgTe4

NaCeAgTe4 after structural relaxation (PBE-GGA, Alexandria).

* electronic total energy: -4.03 eV per atom
* ΔE_f (raw): -532 kJ/mol of formula units
* volume: 29.3 A^3/atom
* N(E_F): 6.30 states/eV/f.u.

Structure (CIF):
```
data_NaCeAgTe4
_space_group_name_H-M_alt 'P 4/n m m'
_space_group_IT_number 129
_cell_length_a 4.447
_cell_length_b 4.447
_cell_length_c 20.706
_cell_angle_alpha 90.00
_cell_angle_beta 90.00
_cell_angle_gamma 90.00
loop_
_space_group_symop_operation_xyz
'x,y,z'
'-x,-y,-z'
'-y+1/2,x,z'
'y+1/2,-x,-z'
'-x+1/2,-y+1/2,z'
'x+1/2,y+1/2,-z'
'y,-x+1/2,z'
'-y,x+1/2,-z'
'x+1/2,-y,-z'
'-x+1/2,y,z'
'-y,-x,-z'
'y,x,z'
'-x,y+1/2,-z'
'x,-y+1/2,z'
'y+1/2,x+1/2,-z'
'-y+1/2,-x+1/2,z'
loop_
_atom_site_label
_atom_site_type_symbol
_atom_site_fract_x
_atom_site_fract_y
_atom_site_fract_z
Na1 Na 0.250 0.250 0.134
Ce1 Ce 0.250 0.250 0.601
Ag1 Ag 0.250 0.750 0.000
Te1 Te 0.250 0.250 0.443
Te2 Te 0.250 0.250 0.909
Te3 Te 0.250 0.750 0.281
```